Below is a geometry-optimized BaEuMgZn structure, with properties calculated at the PBE-GGA level.

Structure (extended XYZ):
```
4
Lattice="5.765 0.000 0.000 2.883 4.993 0.000 2.883 1.664 4.707" Properties=species:S:1:pos:R:3 pbc="T T T"
Eu 8.648 4.993 3.530
Mg 5.765 3.328 2.354
Zn 0.000 0.000 0.000
Ba 2.883 1.664 1.177
```

Computed properties:
DOS at the Fermi energy	2.62	states/eV/atom
formation energy from the elements	-0.08	eV/atom